DFT (PBE-GGA) results for a relaxed structure of Ac3La2Au3.

a = 3.9265 Å, b = 5.6218 Å, c = 12.0679 Å
α = 103.47°, β = 99.36°, γ = 90.00°
Element x y z (fractional)
1 Ac 0.3834 0.3834 0.7668
2 Ac 0.6166 0.6166 0.2332
3 Ac 0.5000 0.0000 0.0000
4 La 0.2706 0.7706 0.5413
5 La 0.7294 0.2294 0.4587
6 Au 0.8779 0.8779 0.7557
7 Au 0.0000 0.5000 0.0000
8 Au 0.1221 0.1221 0.2443

Raw total energy in eV/cell: -36.58
V in Å³ per atom: 31.93

---

DFT (PBE-GGA) results for a relaxed structure of LiSc2Rh.

a = 5.4864 Å, b = 5.4864 Å, c = 5.4864 Å
α = 138.42°, β = 138.42°, γ = 60.26°
Element x y z (fractional)
1 Li 0.5000 0.5000 0.0000
2 Rh 0.7500 0.2500 0.5000
3 Sc 0.0000 0.0000 0.0000
4 Sc 0.2500 0.7500 0.5000

Raw total energy in eV/cell: -23.15
V in Å³ per atom: 18.00

---

DFT (PBE-GGA) results for a relaxed structure of YZr2Si2.

a = 8.1927 Å, b = 8.1927 Å, c = 3.0157 Å
α = 90.00°, β = 90.00°, γ = 90.00°
Element x y z (fractional)
1 Y 0.0000 0.0000 0.0000
2 Y 0.5000 0.5000 0.0000
3 Si 0.1723 0.6723 0.5000
4 Si 0.6723 0.8277 0.5000
5 Si 0.8277 0.3277 0.5000
6 Si 0.3277 0.1723 0.5000
7 Zr 0.3754 0.8754 0.0000
8 Zr 0.8754 0.6246 0.0000
9 Zr 0.6246 0.1246 0.0000
10 Zr 0.1246 0.3754 0.0000

Energy relative to the lowest polymorph listed for this composition in eV per atom: 0.376
Raw total energy in eV/cell: -72.52
V in Å³ per atom: 20.24

---

DFT (PBE-GGA) results for a relaxed structure of ErHfCl.

a = 3.4440 Å, b = 3.4435 Å, c = 15.7445 Å
α = 101.88°, β = 101.60°, γ = 60.00°
Element x y z (fractional)
1 Hf 0.6813 0.1530 0.2949
2 Hf 0.9203 0.3854 0.1370
3 Er 0.4516 0.9324 0.4697
4 Er 0.4832 0.9413 0.9642
5 Cl 0.8572 0.3434 0.5905
6 Cl 0.7441 0.1970 0.8434

Raw total energy in eV/cell: -37.82
V in Å³ per atom: 26.20

---

DFT (PBE-GGA) results for a relaxed structure of Li2Sn2Mo.

a = 7.5849 Å, b = 7.5849 Å, c = 3.1212 Å
α = 90.00°, β = 90.00°, γ = 90.00°
Element x y z (fractional)
1 Mo 0.0000 0.0000 0.0000
2 Mo 0.5000 0.5000 0.0000
3 Sn 0.3405 0.8405 0.0000
4 Sn 0.8405 0.6595 0.0000
5 Sn 0.6595 0.1595 0.0000
6 Sn 0.1595 0.3405 0.0000
7 Li 0.1416 0.6416 0.5000
8 Li 0.6416 0.8584 0.5000
9 Li 0.8584 0.3584 0.5000
10 Li 0.3584 0.1416 0.5000

Raw total energy in eV/cell: -44.20
V in Å³ per atom: 17.96

---

DFT (PBE-GGA) results for a relaxed structure of ZnTcSb3.

a = 5.1727 Å, b = 5.1727 Å, c = 5.1727 Å
α = 90.00°, β = 90.00°, γ = 90.00°
Element x y z (fractional)
1 Sb 0.0000 0.5000 0.0000
2 Sb 0.0000 0.0000 0.5000
3 Sb 0.5000 0.0000 0.0000
4 Zn 0.5000 0.5000 0.5000
5 Tc 0.0000 0.0000 0.0000

Energy relative to the lowest polymorph listed for this composition in eV per atom: 0.000
Raw total energy in eV/cell: -21.39
V in Å³ per atom: 27.68

---

DFT (PBE-GGA) results for a relaxed structure of MgInPO2.

a = 4.0932 Å, b = 4.0932 Å, c = 5.4154 Å
α = 90.00°, β = 90.00°, γ = 90.00°
Element x y z (fractional)
1 P 0.0000 0.0000 0.5000
2 Mg 0.5000 0.5000 0.5000
3 O 0.0000 0.5000 0.0000
4 O 0.5000 0.0000 0.0000
5 In 0.0000 0.0000 0.0000

Energy relative to the lowest polymorph listed for this composition in eV per atom: 0.148
Raw total energy in eV/cell: -20.83
V in Å³ per atom: 18.15

---

DFT (PBE-GGA) results for a relaxed structure of Ba3Pa2O9.

a = 6.1812 Å, b = 6.1812 Å, c = 7.8483 Å
α = 90.00°, β = 90.00°, γ = 120.00°
Element x y z (fractional)
1 Ba 0.6667 0.3333 0.6287
2 Ba 0.0000 0.0000 0.0000
3 Ba 0.3333 0.6667 0.3713
4 Pa 0.6667 0.3333 0.1684
5 Pa 0.3333 0.6667 0.8316
6 O 0.1768 0.8232 0.6793
7 O 0.1768 0.3537 0.6793
8 O 0.5000 0.5000 0.0000
9 O 0.8232 0.6463 0.3207
10 O 0.3537 0.1768 0.3207
11 O 0.6463 0.8232 0.6793
12 O 0.8232 0.1768 0.3207
13 O 0.0000 0.5000 0.0000
14 O 0.5000 0.0000 0.0000

Raw total energy in eV/cell: -109.07
V in Å³ per atom: 18.55

---

DFT (PBE-GGA) results for a relaxed structure of UPaAsP.

a = 4.9068 Å, b = 4.9068 Å, c = 4.9076 Å
α = 60.01°, β = 60.01°, γ = 60.00°
Element x y z (fractional)
1 U 0.9441 0.9441 0.1677
2 Pa 0.4441 0.4441 0.6676
3 As 0.6941 0.6941 0.9177
4 P 0.1941 0.1941 0.4177

Raw total energy in eV/cell: -33.76
V in Å³ per atom: 20.89

---

DFT (PBE-GGA) results for a relaxed structure of Pm2NdSm3.

a = 3.6005 Å, b = 9.8513 Å, c = 11.7172 Å
α = 86.75°, β = 90.00°, γ = 90.00°
Element x y z (fractional)
1 Pm 0.2500 0.4458 0.8610
2 Pm 0.7500 0.5542 0.1390
3 Pm 0.7500 0.0864 0.3789
4 Pm 0.2500 0.9136 0.6211
5 Nd 0.2500 0.7560 0.3552
6 Nd 0.7500 0.2440 0.6448
7 Sm 0.7500 0.9230 0.1189
8 Sm 0.2500 0.0770 0.8811
9 Sm 0.7500 0.7667 0.8612
10 Sm 0.2500 0.2333 0.1388
11 Sm 0.2500 0.4021 0.3952
12 Sm 0.7500 0.5979 0.6048

Energy relative to the lowest polymorph listed for this composition in eV per atom: 0.009
Raw total energy in eV/cell: -56.04
V in Å³ per atom: 34.58

---

DFT (PBE-GGA) results for a relaxed structure of Li8Zn3Au2.

a = 4.6367 Å, b = 7.1570 Å, c = 7.6384 Å
α = 117.96°, β = 90.00°, γ = 90.00°
Element x y z (fractional)
1 Li 0.0000 0.3107 0.6217
2 Li 0.0000 0.6893 0.3783
3 Li 0.0000 0.8942 0.7884
4 Li 0.0000 0.1058 0.2116
5 Li 0.5000 0.8053 0.2262
6 Li 0.5000 0.4210 0.2262
7 Li 0.5000 0.5790 0.7738
8 Li 0.5000 0.1947 0.7738
9 Zn 0.5000 0.0000 0.0000
10 Zn 0.0000 0.3240 0.0000
11 Zn 0.0000 0.6760 0.0000
12 Au 0.5000 0.7873 0.5746
13 Au 0.5000 0.2127 0.4254

Raw total energy in eV/cell: -28.49
V in Å³ per atom: 17.22

---

DFT (PBE-GGA) results for a relaxed structure of ScAgGe.

a = 6.9232 Å, b = 6.9232 Å, c = 4.0551 Å
α = 90.00°, β = 90.00°, γ = 120.00°
Element x y z (fractional)
1 Sc 0.4177 0.4177 0.0000
2 Sc 0.5823 0.0000 0.0000
3 Sc 0.0000 0.5823 0.0000
4 Ag 0.7462 0.7462 0.5000
5 Ag 0.2538 0.0000 0.5000
6 Ag 0.0000 0.2538 0.5000
7 Ge 0.6667 0.3333 0.5000
8 Ge 0.3333 0.6667 0.5000
9 Ge 0.0000 0.0000 0.0000

Raw total energy in eV/cell: -46.43
V in Å³ per atom: 18.70